No. 1
K3Rb7Na2 | PBE | relaxed

a b c (Å): 7.766 4.840 25.096
angles (deg): 90.00 98.76 90.00
Space group P2/m (No. 10)
Unique sites:
K 0.000 0.000 0.000 x1
K 0.320 0.500 0.643 x2
Rb 0.085 0.500 0.155 x2
Rb 0.227 0.000 0.454 x2
Rb 0.397 0.000 0.809 x2
Rb 0.500 0.500 0.000 x1
Na 0.151 0.000 0.294 x2

Computed properties:
Fermi-level density of states ... 9.11 states/eV/cell
Calculated total energy ... -1.011 eV per atom
E_form ... 0.047 eV per atom

---

No. 2
KRbNa | PBE | relaxed

a b c (Å): 8.115 8.613 11.265
angles (deg): 90.00 90.00 90.00
Space group Imma (No. 74)
Unique sites:
K 0.000 0.000 0.000 x4
Rb 0.000 0.250 0.385 x4
Na 0.250 0.250 0.750 x4

Computed properties:
Fermi-level density of states ... 7.61 states/eV/cell
Calculated total energy ... -1.106 eV per atom
E_form ... 0.022 eV per atom

---

No. 3
K3Rb3Na8 | PBE | relaxed

a b c (Å): 6.300 12.789 19.512
angles (deg): 90.00 90.00 90.00
Space group Immm (No. 71)
Unique sites:
K 0.000 0.000 0.000 x2
K 0.000 0.265 0.500 x4
Rb 0.000 0.500 0.000 x2
Rb 0.000 0.500 0.300 x4
Na 0.000 0.140 0.317 x8
Na 0.000 0.235 0.145 x8

Computed properties:
Fermi-level density of states ... 13.77 states/eV/cell
Calculated total energy ... -1.154 eV per atom
E_form ... 0.042 eV per atom

---

What did the third record say?
K3Rb3Na8 | PBE | relaxed

a b c (Å): 6.300 12.789 19.512
angles (deg): 90.00 90.00 90.00
Space group Immm (No. 71)
Unique sites:
K 0.000 0.000 0.000 x2
K 0.000 0.265 0.500 x4
Rb 0.000 0.500 0.000 x2
Rb 0.000 0.500 0.300 x4
Na 0.000 0.140 0.317 x8
Na 0.000 0.235 0.145 x8

Computed properties:
Fermi-level density of states ... 13.77 states/eV/cell
Calculated total energy ... -1.154 eV per atom
E_form ... 0.042 eV per atom